Compound: V4CrFe3O16
Source: Alexandria via LeMat-Bulk
Functional: PBE+U
Structure: relaxed

Output
D(E_F)   0.0 states/eV/cell
Symmetry   C2, No. 5
Energy   -7.303 eV/atom

```
V4CrFe3O16
1.0
5.031 -4.537 0.000
5.031 4.537 0.000
-2.078 0.000 6.633
V Cr Fe O
4 1 3 16
Cartesian
5.031 4.534 0.000
5.031 0.000 0.000
1.911 -2.300 2.671
6.073 -2.300 3.961
3.992 3.880 3.316
2.675 2.267 0.895
3.992 0.566 3.316
5.309 2.267 5.738
1.207 0.938 0.732
0.264 0.802 3.492
1.210 2.251 5.680
4.144 3.666 1.323
2.674 2.269 3.049
3.840 3.666 5.309
4.152 0.866 1.326
5.310 2.269 3.584
3.832 0.866 5.307
6.774 2.251 0.953
2.683 -0.858 3.140
1.743 -0.943 5.905
5.301 -0.858 3.492
6.241 -0.943 0.727
6.777 0.938 5.901
7.720 0.802 3.140
```